[1]
BaH3S: relaxed, PBE-GGA.

abc: 4.104 4.104 4.104
angles: 90.00 90.00 90.00
Fractional coordinates of all 5 atoms:
1 Ba 0.500 0.500 0.500
2 H 0.500 0.000 0.000
3 H 0.000 0.000 0.500
4 H 0.000 0.500 0.000
5 S 0.000 0.000 0.000

Properties
Calculated total energy, eV per atom: -3.11
Spin magnetization, μB per cell: 0.0
Calculated volume, Å³ per atom: 13.8
N(E_F), states/eV per atom: 0.349


[2]
Mg3Cu2Rh: relaxed, PBE-GGA.

abc: 3.147 3.147 9.427
angles: 90.00 90.00 90.00
Fractional coordinates of all 6 atoms:
1 Cu 0.500 0.500 0.170
2 Mg 0.000 0.000 0.341
3 Cu 0.500 0.500 0.830
4 Rh 0.500 0.500 0.500
5 Mg 0.000 0.000 0.659
6 Mg 0.000 0.000 0.000

Properties
ΔE_f, eV/atom: -0.248
Spin magnetization, μB per cell: 0.0
Calculated volume, Å³ per atom: 15.6
N(E_F), states/eV per atom: 0.198


[3]
Na3Ga8Au: relaxed, PBE-GGA.

abc: 5.648 5.648 9.483
angles: 72.68 72.68 60.00
Fractional coordinates of all 12 atoms:
1 Ga 0.431 0.944 0.681
2 Ga 0.944 0.944 0.681
3 Ga 0.935 0.440 0.184
4 Na 0.995 0.995 0.014
5 Na 0.503 0.503 0.490
6 Ga 0.440 0.440 0.184
7 Ga 0.191 0.191 0.428
8 Ga 0.944 0.431 0.681
9 Ga 0.693 0.693 0.921
10 Ga 0.440 0.935 0.184
11 Na 0.377 0.377 0.868
12 Au 0.856 0.856 0.432

Properties
ΔE_f, eV/atom: -0.080
Spin magnetization, μB per cell: 0.0
Calculated volume, Å³ per atom: 20.5
N(E_F), states/eV per atom: 0.379


[4]
K2Pb2Au3: relaxed, PBE-GGA.

abc: 5.003 6.823 8.005
angles: 124.88 90.00 111.51
Fractional coordinates of all 7 atoms:
1 Pb 0.132 0.263 0.272
2 K 0.171 0.342 0.785
3 Au 0.500 0.000 0.000
4 Au 0.427 0.854 0.579
5 K 0.829 0.658 0.215
6 Au 0.573 0.146 0.421
7 Pb 0.868 0.737 0.728

Properties
ΔE_f, eV/atom: -0.205
Spin magnetization, μB per cell: 0.0
Calculated volume, Å³ per atom: 28.6
N(E_F), states/eV per atom: 0.422


[5]
CdGeMo2Ru: relaxed, PBE-GGA.

abc: 4.986 4.885 4.986
angles: 90.00 90.00 90.00
Fractional coordinates of all 5 atoms:
1 Ge 0.500 0.500 0.500
2 Cd 0.000 0.000 0.000
3 Mo 0.000 0.000 0.500
4 Mo 0.500 0.000 0.000
5 Ru 0.000 0.500 0.000

Properties
ΔE_f, eV/atom: 2.414
Spin magnetization, μB per cell: 4.6
Calculated volume, Å³ per atom: 24.3
N(E_F), states/eV per atom: 1.096


[6]
La4OsRu: relaxed, PBE-GGA.

abc: 4.307 6.747 6.747
angles: 90.18 90.00 90.00
Fractional coordinates of all 6 atoms:
1 La 0.000 0.199 0.199
2 La 0.000 0.801 0.801
3 Os 0.000 0.500 0.500
4 Ru 0.500 0.000 0.000
5 La 0.500 0.302 0.698
6 La 0.500 0.698 0.302

Properties
ΔE_f, eV/atom: -0.194
Spin magnetization, μB per cell: 0.0
Calculated volume, Å³ per atom: 32.7
N(E_F), states/eV per atom: 0.483


[7]
CuAsRh2: relaxed, PBE-GGA.

abc: 4.331 4.331 4.331
angles: 60.00 60.00 60.00
Fractional coordinates of all 4 atoms:
1 Cu 0.750 0.750 0.750
2 As 0.500 0.500 0.500
3 Rh 0.000 0.000 0.000
4 Rh 0.250 0.250 0.250

Properties
ΔE_f, eV/atom: 0.072
Spin magnetization, μB per cell: 0.0
Calculated volume, Å³ per atom: 14.4
N(E_F), states/eV per atom: 1.485


[8]
CoTe2PbI: relaxed, PBE-GGA.

abc: 5.887 5.887 6.064
angles: 90.00 90.00 90.00
Fractional coordinates of all 5 atoms:
1 I 0.000 0.000 0.500
2 Pb 0.000 0.000 0.000
3 Te 0.500 0.000 0.000
4 Te 0.000 0.500 0.000
5 Co 0.500 0.500 0.500

Properties
Spin magnetization, μB per cell: 2.8
Calculated volume, Å³ per atom: 42.0
Energy relative to the elements, uncorrected, meV per atom: 1044
N(E_F), states/eV per atom: 1.841


[9]
AgHg2: relaxed, PBE-GGA.

abc: 5.101 5.101 2.971
angles: 90.00 90.00 90.00
Fractional coordinates of all 3 atoms:
1 Hg 0.000 0.500 0.500
2 Hg 0.500 0.000 0.500
3 Ag 0.000 0.000 0.000

Properties
ΔE_f, eV/atom: 0.074
Spin magnetization, μB per cell: 0.0
Calculated volume, Å³ per atom: 25.8
N(E_F), states/eV per atom: 0.313


[10]
Pu2Al9Zn: relaxed, PBE-GGA.

abc: 5.530 5.530 9.361
angles: 72.82 72.82 60.00
Fractional coordinates of all 12 atoms:
1 Al 0.923 0.412 0.252
2 Pu 0.855 0.855 0.436
3 Al 0.588 0.077 0.748
4 Al 0.335 0.335 0.996
5 Al 0.665 0.665 0.004
6 Al 0.588 0.588 0.748
7 Zn 0.000 0.000 0.000
8 Al 0.500 0.500 0.500
9 Al 0.412 0.923 0.252
10 Al 0.412 0.412 0.252
11 Al 0.077 0.588 0.748
12 Pu 0.145 0.145 0.564

Properties
ΔE_f, eV/atom: -0.058
Spin magnetization, μB per cell: 11.4
Calculated volume, Å³ per atom: 19.4
N(E_F), states/eV per atom: 1.256


[11]
Li3Ac12Rh5: relaxed, PBE-GGA.

abc: 16.013 16.013 16.013
angles: 109.47 109.47 109.47
Fractional coordinates of all 80 atoms:
1 Rh 0.250 0.375 0.625
2 Rh 0.000 0.000 0.000
3 Rh 0.375 0.125 0.750
4 Ac 0.116 0.412 0.090
5 Rh 0.500 0.500 0.000
6 Ac 0.474 0.796 0.884
7 Ac 0.704 0.116 0.026
8 Ac 0.026 0.616 0.704
9 Ac 0.974 0.590 0.179
10 Li 0.875 0.750 0.125
11 Li 0.625 0.250 0.375
12 Ac 0.974 0.384 0.296
13 Ac 0.474 0.679 0.090
14 Rh 0.625 0.750 0.875
15 Rh 0.875 0.625 0.750
16 Ac 0.296 0.412 0.821
17 Ac 0.179 0.088 0.704
18 Li 0.250 0.125 0.375
19 Ac 0.384 0.410 0.088
20 Ac 0.821 0.912 0.296
21 Li 0.625 0.375 0.750
22 Ac 0.796 0.474 0.384
23 Ac 0.588 0.704 0.679
24 Ac 0.704 0.588 0.179
25 Ac 0.179 0.090 0.974
26 Rh 0.000 0.500 0.000
27 Rh 0.500 0.000 0.000
28 Ac 0.088 0.179 0.204
29 Ac 0.590 0.974 0.679
30 Ac 0.590 0.616 0.412
31 Ac 0.910 0.821 0.526
32 Rh 0.125 0.375 0.250
33 Rh 0.000 0.000 0.500
34 Li 0.375 0.625 0.250
35 Ac 0.090 0.912 0.116
36 Rh 0.125 0.750 0.375
37 Ac 0.116 0.704 0.526
38 Ac 0.410 0.026 0.321
39 Ac 0.884 0.296 0.474
40 Ac 0.204 0.679 0.088
41 Ac 0.384 0.974 0.796
42 Li 0.750 0.375 0.125
43 Ac 0.526 0.204 0.116
44 Ac 0.204 0.526 0.616
45 Rh 0.875 0.250 0.625
46 Ac 0.679 0.474 0.590
47 Ac 0.410 0.384 0.588
48 Ac 0.616 0.590 0.912
49 Ac 0.526 0.321 0.910
50 Ac 0.588 0.884 0.410
51 Ac 0.296 0.884 0.974
52 Ac 0.821 0.910 0.026
53 Rh 0.625 0.875 0.250
54 Ac 0.912 0.090 0.616
55 Rh 0.750 0.625 0.375
56 Rh 0.500 0.500 0.500
57 Ac 0.912 0.821 0.796
58 Li 0.750 0.875 0.625
59 Li 0.125 0.875 0.750
60 Li 0.125 0.250 0.875
61 Rh 0.750 0.125 0.875
62 Ac 0.090 0.179 0.474
63 Rh 0.375 0.250 0.125
64 Ac 0.679 0.204 0.588
65 Ac 0.884 0.588 0.910
66 Li 0.875 0.125 0.250
67 Li 0.250 0.625 0.875
68 Ac 0.910 0.088 0.884
69 Ac 0.026 0.410 0.821
70 Ac 0.616 0.026 0.204
71 Ac 0.088 0.910 0.384
72 Rh 0.000 0.500 0.500
73 Li 0.375 0.750 0.625
74 Ac 0.796 0.321 0.912
75 Rh 0.250 0.875 0.125
76 Ac 0.412 0.116 0.590
77 Ac 0.412 0.296 0.321
78 Ac 0.321 0.526 0.410
79 Ac 0.321 0.796 0.412
80 Rh 0.500 0.000 0.500

Properties
ΔE_f, eV/atom: -0.128
Spin magnetization, μB per cell: 0.0
Calculated volume, Å³ per atom: 39.5
N(E_F), states/eV per atom: 0.988


[12]
Pm2Si4Ir3Au: relaxed, PBE-GGA.

abc: 4.228 4.228 9.959
angles: 90.00 90.00 90.00
Fractional coordinates of all 10 atoms:
1 Si 0.000 0.000 0.000
2 Pm 0.000 0.500 0.761
3 Au 0.500 0.500 0.500
4 Si 0.500 0.000 0.640
5 Ir 0.000 0.000 0.500
6 Ir 0.500 0.000 0.878
7 Pm 0.500 0.000 0.239
8 Si 0.000 0.500 0.360
9 Si 0.500 0.500 0.000
10 Ir 0.000 0.500 0.122

Properties
Spin magnetization, μB per cell: 0.0
Calculated volume, Å³ per atom: 17.8
Energy relative to the elements, uncorrected, meV per atom: -893
N(E_F), states/eV per atom: 0.642


[13]
Re2SbRhF: relaxed, PBE-GGA.

abc: 4.110 4.746 4.110
angles: 90.00 90.00 90.00
Fractional coordinates of all 5 atoms:
1 Rh 0.000 0.500 0.000
2 F 0.000 0.000 0.000
3 Sb 0.500 0.500 0.500
4 Re 0.000 0.000 0.500
5 Re 0.500 0.000 0.000

Properties
Spin magnetization, μB per cell: 0.0
Calculated volume, Å³ per atom: 16.0
Energy relative to the elements, uncorrected, meV per atom: 1087
N(E_F), states/eV per atom: 1.219


[14]
PaVCu4: relaxed, PBE-GGA.

abc: 5.039 5.039 5.039
angles: 60.00 60.00 60.00
Fractional coordinates of all 6 atoms:
1 Pa 0.000 0.000 0.000
2 Cu 0.624 0.624 0.129
3 Cu 0.624 0.129 0.624
4 V 0.250 0.250 0.250
5 Cu 0.129 0.624 0.624
6 Cu 0.624 0.624 0.624

Properties
ΔE_f, eV/atom: 0.057
Spin magnetization, μB per cell: 3.4
Calculated volume, Å³ per atom: 15.1
N(E_F), states/eV per atom: 1.171


[15]
BeAs2PdSe: relaxed, PBE-GGA.

abc: 4.785 4.785 5.134
angles: 90.00 90.00 90.00
Fractional coordinates of all 5 atoms:
1 Be 0.500 0.500 0.500
2 Se 0.000 0.000 0.500
3 As 0.500 0.000 0.000
4 Pd 0.000 0.000 0.000
5 As 0.000 0.500 0.000

Properties
Spin magnetization, μB per cell: 0.4
Calculated volume, Å³ per atom: 23.5
Energy relative to the elements, uncorrected, meV per atom: 940
N(E_F), states/eV per atom: 1.041


[16]
Lu2NiH: relaxed, PBE-GGA.

abc: 3.267 3.267 7.976
angles: 78.18 78.18 60.00
Fractional coordinates of all 4 atoms:
1 H 0.500 0.500 0.500
2 Lu 0.108 0.108 0.677
3 Lu 0.892 0.892 0.323
4 Ni 0.000 0.000 0.000

Properties
Calculated total energy, eV per atom: -4.33
Spin magnetization, μB per cell: 0.0
Calculated volume, Å³ per atom: 17.9
N(E_F), states/eV per atom: 0.899


[17]
LiHoGa4Pt2: relaxed, PBE-GGA.

abc: 4.293 4.293 8.802
angles: 75.88 75.88 60.00
Fractional coordinates of all 8 atoms:
1 Ga 0.604 0.604 0.189
2 Ga 0.130 0.130 0.609
3 Li 0.500 0.500 0.500
4 Pt 0.763 0.763 0.710
5 Ga 0.870 0.870 0.391
6 Ga 0.396 0.396 0.811
7 Pt 0.237 0.237 0.290
8 Ho 0.000 0.000 0.000

Properties
ΔE_f, eV/atom: -0.711
Spin magnetization, μB per cell: 0.0
Calculated volume, Å³ per atom: 16.9
N(E_F), states/eV per atom: 0.394


[18]
BaScAgS2: relaxed, PBE-GGA.

abc: 5.258 4.930 5.258
angles: 90.00 90.00 90.00
Fractional coordinates of all 5 atoms:
1 Ba 0.500 0.500 0.500
2 Ag 0.000 0.000 0.000
3 S 0.500 0.000 0.000
4 S 0.000 0.000 0.500
5 Sc 0.000 0.500 0.000

Properties
Spin magnetization, μB per cell: 1.6
Calculated volume, Å³ per atom: 27.3
Energy relative to the elements, uncorrected, meV per atom: -216
N(E_F), states/eV per atom: 0.721


[19]
Te2PbN: relaxed, PBE-GGA.

abc: 7.150 7.150 6.596
angles: 57.18 57.18 90.00
Fractional coordinates of all 8 atoms:
1 N 0.500 0.500 0.000
2 Te 0.875 0.755 0.750
3 Te 0.505 0.125 0.250
4 Pb 0.750 0.250 0.500
5 Te 0.375 0.495 0.750
6 N 0.250 0.750 0.500
7 Pb 0.000 0.000 0.000
8 Te 0.245 0.625 0.250

Properties
Spin magnetization, μB per cell: 0.0
Calculated volume, Å³ per atom: 27.1
Energy relative to the elements, uncorrected, meV per atom: 572
N(E_F), states/eV per atom: 0.412


[20]
Ce4SiHg2: relaxed, PBE-GGA.

abc: 5.264 6.144 6.144
angles: 95.12 90.00 90.00
Fractional coordinates of all 7 atoms:
1 Ce 0.000 0.148 0.644
2 Si 0.000 0.142 0.142
3 Ce 0.500 0.979 0.979
4 Ce 0.500 0.304 0.304
5 Ce 0.000 0.644 0.148
6 Hg 0.500 0.474 0.810
7 Hg 0.500 0.810 0.474

Properties
Spin magnetization, μB per cell: 4.3
Calculated volume, Å³ per atom: 28.3
Energy relative to the elements, uncorrected, meV per atom: -212
N(E_F), states/eV per atom: 3.371